1.
An optimized crystal structure of HoErGa3Si2. Source: OQMD via LeMat-Bulk, functional PBE.

The structure in POSCAR format:
```
HoErGa3Si2
1.0
5.103 -2.019 0.000
5.103 2.019 0.000
-1.259 0.000 6.461
Ho Er Ga Si
1 1 3 2
Direct
0.000 0.000 0.000 Ho
0.237 0.237 0.632 Er
0.315 0.315 0.176 Ga
0.619 0.619 0.316 Ga
0.922 0.922 0.456 Ga
0.524 0.524 0.683 Si
0.713 0.713 0.948 Si
```

Properties
E ... -4.691 eV/atom


2.
An optimized crystal structure of SmHoEr2Ga2. Source: OQMD via LeMat-Bulk, functional PBE.

The structure in POSCAR format:
```
SmHoEr2Ga2
1.0
5.158 0.000 0.000
-2.579 4.467 0.000
0.000 0.000 6.584
Sm Ho Er Ga
1 1 2 2
Direct
0.000 0.000 0.000 Sm
0.333 0.667 0.500 Ho
0.667 0.333 0.254 Er
0.667 0.333 0.746 Er
0.000 0.000 0.500 Ga
0.333 0.667 0.000 Ga
```

Properties
E ... -4.470 eV/atom


3.
An optimized crystal structure of SmHo2ErGa2. Source: OQMD via LeMat-Bulk, functional PBE.

The structure in POSCAR format:
```
SmHo2ErGa2
1.0
5.157 0.000 0.000
-2.579 4.466 0.000
0.000 0.000 6.611
Sm Ho Er Ga
1 2 1 2
Direct
0.000 0.000 0.000 Sm
0.667 0.333 0.254 Ho
0.667 0.333 0.746 Ho
0.333 0.667 0.500 Er
0.000 0.000 0.500 Ga
0.333 0.667 0.000 Ga
```

Properties
E ... -4.469 eV/atom


4.
An optimized crystal structure of HoErTm2Ga4. Source: OQMD via LeMat-Bulk, functional PBE.

The structure in POSCAR format:
```
HoErTm2Ga4
1.0
6.563 0.000 0.000
0.000 2.156 6.511
0.000 -2.156 6.511
Ho Er Tm Ga
1 1 2 4
Direct
0.000 0.000 0.000 Ho
0.500 0.105 0.105 Er
0.000 0.276 0.276 Tm
0.500 0.830 0.830 Tm
0.198 0.652 0.652 Ga
0.303 0.454 0.454 Ga
0.697 0.454 0.454 Ga
0.802 0.652 0.652 Ga
```

Properties
E ... -4.400 eV/atom


> The highest E belongs to which entry?

HoErTm2Ga4


Please write out number 1 again, unchanged.
An optimized crystal structure of HoErGa3Si2. Source: OQMD via LeMat-Bulk, functional PBE.

The structure in POSCAR format:
```
HoErGa3Si2
1.0
5.103 -2.019 0.000
5.103 2.019 0.000
-1.259 0.000 6.461
Ho Er Ga Si
1 1 3 2
Direct
0.000 0.000 0.000 Ho
0.237 0.237 0.632 Er
0.315 0.315 0.176 Ga
0.619 0.619 0.316 Ga
0.922 0.922 0.456 Ga
0.524 0.524 0.683 Si
0.713 0.713 0.948 Si
```

Properties
E ... -4.691 eV/atom